Crystalline LiFeN2F at its relaxed geometry. Source: Alexandria via LeMat-Bulk, functional GGA+U.

abc: 3.7135 3.7135 4.3057
angles: 90.00 90.00 90.00
Closest atoms and distances in Å follow each position.
Space group P4/mmm (No. 123)
Asymmetric unit:
Li 0.0000 0.0000 0.0000  4 F 2.63, 8 N 2.84
Fe 0.5000 0.5000 0.5000  4 N 1.86
N 0.0000 0.5000 0.5000  2 Fe 1.86
F 0.5000 0.5000 0.0000  2 Fe 2.15

Summary:
E above lowest polymorph = 0 meV/atom
crystal system = tetragonal